Record 1
The following is a DFT calculation (GGA-PBE) of a geometry-optimized CoNiBiPt2 structure.

Structure (POSCAR):
```
CoNiBiPt2
1.0
5.067 0.000 0.000
0.000 5.067 0.000
0.000 0.000 4.767
Co Ni Bi Pt
1 1 1 2
Direct
0.000 0.000 0.000
0.500 0.500 0.000
0.000 0.000 0.500
0.000 0.500 0.500
0.500 0.000 0.500
```

As for the formation energy: 8.02 eV per formula unit. The value obtained for the electronic total energy is -20.8 eV per cell. Its space-group type is No. 123.

Record 2
The following is a DFT calculation (GGA-PBE) of a geometry-optimized TlFe5 structure.

Structure (POSCAR):
```
TlFe5
1.0
4.685 0.000 0.000
-2.343 4.058 0.000
0.000 0.000 4.308
Tl Fe
1 5
Direct
0.000 0.000 0.000
0.000 0.626 0.500
0.333 0.667 0.000
0.374 0.374 0.500
0.626 0.000 0.500
0.667 0.333 0.000
```

As for the formation energy: 2.27 eV per formula unit. The value obtained for the electronic total energy is -42.4 eV per cell. As for the energy above the lowest structure with this stoichiometry: 69 kJ/mol of formula units. Its space-group type is No. 189.

Record 3
The following is a DFT calculation (GGA-PBE) of a geometry-optimized Ac3MgGa2O9 structure.

Structure (POSCAR):
```
Ac3MgGa2O9
1.0
5.635 0.000 0.000
-2.817 4.880 0.000
0.000 0.000 6.936
Ac Mg Ga O
3 1 2 9
Direct
0.000 0.000 0.000
0.333 0.667 0.664
0.667 0.333 0.336
0.000 0.000 0.500
0.333 0.667 0.168
0.667 0.333 0.832
0.000 0.500 0.000
0.169 0.338 0.330
0.169 0.831 0.330
0.338 0.169 0.670
0.500 0.000 0.000
0.500 0.500 0.000
0.662 0.831 0.330
0.831 0.169 0.670
0.831 0.662 0.670
```

The value obtained for the electronic total energy is -104.3 eV per cell. The value obtained for the formation energy from raw total energies is -3832 kJ/mol of formula units. Its space-group type is No. 164.